Material: BaCoSeO
Method: DFT, PBE+U
State: optimized geometry

Crystal system: tetragonal
Density in Mg/m³: 5.96
Calculated volume in Å³ per cell: 162.3
Electronic total energy in eV/cell: -40.3

abc: 3.9092 3.9092 10.6178
angles: 90.00 90.00 90.00
Atoms (fractional coordinates):
Se1 0.7500 0.7500 0.8598
Se2 0.2500 0.2500 0.1402
Co1 0.7500 0.2500 0.0000
Co2 0.2500 0.7500 0.0000
Ba1 0.2500 0.2500 0.6379
Ba2 0.7500 0.7500 0.3621
O1 0.7500 0.7500 0.5991
O2 0.2500 0.2500 0.4009